DFT (PBE) results for an optimized crystal structure of Cu4SeO.

Results
Formation energy without anion corrections ... -0.122 eV per atom
E ... -4.26 eV/atom

abc: 6.4691 6.8501 4.1767
angles: 90.00 90.00 90.00
Closest atoms and distances in Å follow each position.
Element x y z (fractional)
Cu (0.0000, 0.2274, 0.0000)  1 O 2.00
Cu (0.0000, 0.7586, 0.4876)  1 O 1.99
Cu (0.2240, 0.7989, 0.9896)  1 O 1.88
Cu (0.2760, 0.2011, 0.4896)  1 O 1.88
Cu (0.5000, 0.2414, 0.9876)  1 O 1.99
Cu (0.5000, 0.7726, 0.5000)  1 O 2.00
Cu (0.7240, 0.2011, 0.4896)  1 O 1.88
Cu (0.7760, 0.7989, 0.9896)  1 O 1.88
Se (0.0000, 0.4104, 0.4872)  5 Cu 2.29-2.48
Se (0.5000, 0.5896, 0.9872)  5 Cu 2.29-2.48
O (0.0000, 0.9510, 0.8452)  4 Cu 1.88-2.00
O (0.5000, 0.0490, 0.3452)  4 Cu 1.88-2.00